A geometry-optimized La4PmCo structure, computed with PBE-GGA.

a b c (Å): 5.817 18.574 7.599
angles (deg): 90.00 90.00 90.00
Space group Cmc2_1 (No. 36)
Asymmetric unit:
La 0.000 0.000 0.000 x4
La 0.000 0.201 0.002 x4
La 0.000 0.202 0.502 x4
La 0.000 0.391 0.251 x4
Pm 0.000 0.383 0.752 x4
Co 0.000 0.096 0.751 x4

- calculated formation energy (meV per atom) = 23
- polymorph energy (0 for the lowest one) (meV/atom) = 42